Here is Ca2TiGeSb after structural relaxation from the Alexandria database. Energies are from PBE.

Geometry as CIF:
```
data_Ca2TiGeSb
_chemical_formula_sum 'Ca2 Ti1 Ge1 Sb1'
_cell_length_a 5.761
_cell_length_b 5.761
_cell_length_c 5.158
_cell_angle_alpha 90.00
_cell_angle_beta 90.00
_cell_angle_gamma 90.00
_symmetry_space_group_name_H-M 'P 4/m m m'
_symmetry_Int_Tables_number 123
_symmetry_space_group_name_Hall '-P 4 2'
loop_
_atom_site_label
_atom_site_type_symbol
_atom_site_fract_x
_atom_site_fract_y
_atom_site_fract_z
Ca1 Ca 0.000 0.500 0.000
Ti1 Ti 0.000 0.000 0.500
Ge1 Ge 0.500 0.500 0.500
Sb1 Sb 0.000 0.000 0.000
```

Summary:
* total magnetic moment: 1.24 μB/f.u.
* formation energy (no corrections): 168 meV per atom
* N(E_F): 1.32 states/eV per atom

Here is BaSO after structural relaxation from the Alexandria database. Energies are from PBE.

Geometry as CIF:
```
data_BaSO
_chemical_formula_sum 'Ba2 S2 O2'
_cell_length_a 4.320
_cell_length_b 5.087
_cell_length_c 6.630
_cell_angle_alpha 90.00
_cell_angle_beta 108.47
_cell_angle_gamma 90.00
_symmetry_space_group_name_H-M 'P 1 21/m 1'
_symmetry_Int_Tables_number 11
loop_
_symmetry_equiv_pos_as_xyz
'x,y,z'
'-x,-y,-z'
'-x,y+1/2,-z'
'x,-y+1/2,z'
loop_
_atom_site_label
_atom_site_type_symbol
_atom_site_fract_x
_atom_site_fract_y
_atom_site_fract_z
Ba1 Ba 0.240 0.250 0.299
S1 S 0.213 0.250 0.790
O1 O 0.134 0.750 0.424
```

Summary:
* total magnetic moment: 0.00 μB/f.u.
* formation energy (no corrections): -1758 meV per atom
* N(E_F): 0.00 states/eV per atom

Here is CsOsCl3 after structural relaxation from the Alexandria database. Energies are from PBE.

Geometry as CIF:
```
data_CsOsCl3
_chemical_formula_sum 'Cs1 Os1 Cl3'
_cell_length_a 5.012
_cell_length_b 5.012
_cell_length_c 5.012
_cell_angle_alpha 90.00
_cell_angle_beta 90.00
_cell_angle_gamma 90.00
_symmetry_space_group_name_H-M 'P m -3 m'
_symmetry_Int_Tables_number 221
_symmetry_space_group_name_Hall '-P 4 2 3'
loop_
_atom_site_label
_atom_site_type_symbol
_atom_site_fract_x
_atom_site_fract_y
_atom_site_fract_z
Cs1 Cs 0.000 0.000 0.000
Os1 Os 0.500 0.500 0.500
Cl1 Cl 0.000 0.500 0.500
```

Summary:
* total magnetic moment: 1.70 μB/f.u.
* formation energy (no corrections): -490 meV per atom
* N(E_F): 1.01 states/eV per atom

Here is La3Zn9Pd2 after structural relaxation from the Alexandria database. Energies are from PBE.

Geometry as CIF:
```
data_La3Zn9Pd2
_chemical_formula_sum 'La6 Zn18 Pd4'
_cell_length_a 4.432
_cell_length_b 9.210
_cell_length_c 13.401
_cell_angle_alpha 90.00
_cell_angle_beta 90.00
_cell_angle_gamma 90.00
_symmetry_space_group_name_H-M 'I m m m'
_symmetry_Int_Tables_number 71
_symmetry_space_group_name_Hall '-I 2 2'
loop_
_atom_site_label
_atom_site_type_symbol
_atom_site_fract_x
_atom_site_fract_y
_atom_site_fract_z
La1 La 0.000 0.000 0.000
La2 La 0.000 0.000 0.306
Zn1 Zn 0.000 0.284 0.126
Zn2 Zn 0.000 0.356 0.331
Zn3 Zn 0.000 0.500 0.000
Pd1 Pd 0.000 0.209 0.500
```

Summary:
* DFT formation energy: -612 kJ/mol of formula units
* total magnetic moment: 0.00 μB/f.u.
* N(E_F): 0.50 states/eV per atom

Here is CrGaP2W after structural relaxation from the Alexandria database. Energies are from PBE.

Geometry as CIF:
```
data_CrGaP2W
_chemical_formula_sum 'Cr1 Ga1 P2 W1'
_cell_length_a 4.472
_cell_length_b 4.472
_cell_length_c 4.739
_cell_angle_alpha 90.00
_cell_angle_beta 90.00
_cell_angle_gamma 90.00
_symmetry_space_group_name_H-M 'P 4/m m m'
_symmetry_Int_Tables_number 123
_symmetry_space_group_name_Hall '-P 4 2'
loop_
_atom_site_label
_atom_site_type_symbol
_atom_site_fract_x
_atom_site_fract_y
_atom_site_fract_z
Cr1 Cr 0.000 0.000 0.000
Ga1 Ga 0.500 0.500 0.500
P1 P 0.000 0.500 0.500
W1 W 0.500 0.500 0.000
```

Summary:
* DFT formation energy: 945 kJ/mol of formula units
* total magnetic moment: 0.42 μB/f.u.
* N(E_F): 1.44 states/eV per atom

Here is YBeFe after structural relaxation from the Alexandria database. Energies are from PBE.

Geometry as CIF:
```
data_YBeFe
_chemical_formula_sum 'Y2 Be2 Fe2'
_cell_length_a 3.154
_cell_length_b 3.154
_cell_length_c 9.619
_cell_angle_alpha 90.00
_cell_angle_beta 90.00
_cell_angle_gamma 90.00
_symmetry_space_group_name_H-M 'I 4 m m'
_symmetry_Int_Tables_number 107
_symmetry_space_group_name_Hall 'I 4 -2'
loop_
_atom_site_label
_atom_site_type_symbol
_atom_site_fract_x
_atom_site_fract_y
_atom_site_fract_z
Y1 Y 0.000 0.000 0.000
Be1 Be 0.000 0.000 0.284
Fe1 Fe 0.000 0.000 0.707
```

Summary:
* DFT formation energy: 39 kJ/mol of formula units
* total magnetic moment: 1.57 μB/f.u.
* energy above the lowest structure with this stoichiometry: 54 kJ/mol of formula units
* N(E_F): 0.65 states/eV per atom

Here is BaNa2TlCl after structural relaxation from the Alexandria database. Energies are from PBE.

Geometry as CIF:
```
data_BaNa2TlCl
_chemical_formula_sum 'Ba1 Na2 Tl1 Cl1'
_cell_length_a 5.353
_cell_length_b 5.353
_cell_length_c 6.292
_cell_angle_alpha 90.00
_cell_angle_beta 90.00
_cell_angle_gamma 90.00
_symmetry_space_group_name_H-M 'P 4/m m m'
_symmetry_Int_Tables_number 123
_symmetry_space_group_name_Hall '-P 4 2'
loop_
_atom_site_label
_atom_site_type_symbol
_atom_site_fract_x
_atom_site_fract_y
_atom_site_fract_z
Ba1 Ba 0.000 0.000 0.000
Na1 Na 0.000 0.500 0.500
Tl1 Tl 0.500 0.500 0.000
Cl1 Cl 0.000 0.000 0.500
```

Summary:
* total magnetic moment: 0.90 μB/f.u.
* formation energy (no corrections): -697 meV per atom
* N(E_F): 0.78 states/eV per atom

Here is Pu2CuRh3 after structural relaxation from the Alexandria database. Energies are from PBE.

Geometry as CIF:
```
data_Pu2CuRh3
_chemical_formula_sum 'Pu4 Cu2 Rh6'
_cell_length_a 13.535
_cell_length_b 3.603
_cell_length_c 4.774
_cell_angle_alpha 90.00
_cell_angle_beta 96.45
_cell_angle_gamma 90.00
_symmetry_space_group_name_H-M 'C 1 2/m 1'
_symmetry_Int_Tables_number 12
loop_
_symmetry_equiv_pos_as_xyz
'x,y,z'
'-x,-y,-z'
'-x,y,-z'
'x,-y,z'
'x+1/2,y+1/2,z'
'-x+1/2,-y+1/2,-z'
'-x+1/2,y+1/2,-z'
'x+1/2,-y+1/2,z'
loop_
_atom_site_label
_atom_site_type_symbol
_atom_site_fract_x
_atom_site_fract_y
_atom_site_fract_z
Pu1 Pu 0.141 0.000 0.360
Cu1 Cu 0.000 0.500 0.000
Rh1 Rh 0.000 0.500 0.500
Rh2 Rh 0.180 0.500 0.866
```

Summary:
* DFT formation energy: -86 kJ/mol of formula units
* total magnetic moment: 9.38 μB/f.u.
* N(E_F): 2.87 states/eV per atom